The following is a GGA-PBE calculation of crystalline Dy12Co5Pb at its relaxed geometry, from Alexandria via LeMat-Bulk.

Results
Its energy relative to the elements is -24.9 kJ per mole of atoms. The total energy is -99.1 eV per cell. The space group is Immm.

a b c (Å): 8.2985 8.2985 8.2985
angles (deg): 107.03 110.88 110.54
Positions (direct):
1 Dy 0.5226 0.8149 0.7077
2 Dy 0.4774 0.1851 0.2923
3 Dy 0.8928 0.1851 0.7077
4 Dy 0.1072 0.8149 0.2923
5 Dy 0.6932 0.6871 0.3803
6 Dy 0.3068 0.3129 0.6197
7 Dy 0.3068 0.6871 0.9939
8 Dy 0.6932 0.3129 0.0061
9 Dy 0.8069 0.6012 0.7943
10 Dy 0.1931 0.3988 0.2057
11 Dy 0.1931 0.9874 0.7943
12 Dy 0.8069 0.0126 0.2057
13 Co 0.6211 0.6211 0.0000
14 Co 0.3789 0.3789 0.0000
15 Co 0.5000 0.1120 0.6120
16 Co 0.5000 0.8880 0.3880
17 Co 0.0000 0.0000 0.0000
18 Pb 0.0000 0.5000 0.5000

***

The following is a GGA-PBE calculation of crystalline Dy8Co2Pb at its relaxed geometry, from Alexandria via LeMat-Bulk.

Results
Its energy relative to the elements is -13.7 kJ per mole of atoms. The total energy is -56.3 eV per cell. The space group is C2/m.

a b c (Å): 5.3490 7.8718 7.8718
angles (deg): 113.72 97.29 97.29
Positions (direct):
1 Dy 0.5720 0.3358 0.0738
2 Dy 0.5720 0.0738 0.3358
3 Dy 0.2022 0.3969 0.3969
4 Dy 0.0000 0.2543 0.7518
5 Dy 0.0000 0.7518 0.2543
6 Dy 0.7977 0.6093 0.6093
7 Dy 0.4279 0.9324 0.6704
8 Dy 0.4279 0.6704 0.9324
9 Co 0.5000 0.6977 0.3084
10 Co 0.5000 0.3084 0.6977
11 Pb 0.0000 0.0031 0.0031

***

The following is a GGA-PBE calculation of crystalline DyCoRhPb at its relaxed geometry, from Alexandria via LeMat-Bulk.

Results
Its energy relative to the elements is -26.6 kJ per mole of atoms. The total energy is -23.9 eV per cell. The space group is F-43m.

a b c (Å): 4.7023 4.7023 4.7023
angles (deg): 60.00 60.00 60.00
Each line ends with the local moment (μB).
Positions (direct):
1 Pb 0.7500 0.7500 0.7500  0.00
2 Co 0.5000 0.5000 0.5000  0.99
3 Rh 0.0000 0.0000 0.0000  0.22
4 Dy 0.2500 0.2500 0.2500  -0.11

***

The following is a GGA-PBE calculation of crystalline Dy8CoPd2 at its relaxed geometry, from Alexandria via LeMat-Bulk.

Results
Its energy relative to the elements is -33.0 kJ per mole of atoms. The total energy is -58.1 eV per cell. The space group is C2/m. As for the distance to the lowest polymorph of the same formula: 0 meV/atom.

a b c (Å): 5.0650 6.6864 8.9454
angles (deg): 104.38 106.45 90.00
Positions (direct):
1 Dy 0.4115 0.5625 0.8230
2 Dy 0.6614 0.9732 0.3228
3 Dy 0.7966 0.6815 0.5932
4 Dy 0.9688 0.2093 0.9375
5 Dy 0.2034 0.3185 0.4068
6 Dy 0.3386 0.0268 0.6772
7 Dy 0.5885 0.4375 0.1770
8 Dy 0.0312 0.7907 0.0625
9 Co 0.5000 0.0000 0.0000
10 Pd 0.8104 0.2734 0.6208
11 Pd 0.1896 0.7266 0.3792

***

The following is a GGA-PBE calculation of crystalline DyCoPd at its relaxed geometry, from Alexandria via LeMat-Bulk.

Results
Its energy relative to the elements is -24.1 kJ per mole of atoms. The total energy is -35.3 eV per cell. The space group is Imma.

a b c (Å): 5.4971 5.4971 5.4970
angles (deg): 81.41 130.95 119.60
Each line ends with the local moment (μB).
Positions (direct):
1 Dy 0.2500 0.6300 0.8800  -0.17
2 Dy 0.7500 0.3700 0.1200  -0.17
3 Pd 0.0000 0.0000 0.5000  0.00
4 Pd 0.5000 0.5000 0.5000  0.00
5 Co 0.2500 0.9574 0.2075  1.13
6 Co 0.7500 0.0426 0.7925  1.13

***

The following is a GGA-PBE calculation of crystalline Dy12Co6Pd at its relaxed geometry, from Alexandria via LeMat-Bulk.

Results
Its energy relative to the elements is -24.5 kJ per mole of atoms. The total energy is -107.9 eV per cell. The space group is Im-3.

a b c (Å): 8.2829 8.2829 8.2829
angles (deg): 109.47 109.47 109.47
Positions (direct):
1 Dy 0.3003 0.1064 0.8061
2 Dy 0.3003 0.4942 0.1939
3 Dy 0.6997 0.5058 0.8061
4 Dy 0.6997 0.8936 0.1939
5 Dy 0.1064 0.8061 0.3003
6 Dy 0.4942 0.1939 0.3003
7 Dy 0.5058 0.8061 0.6997
8 Dy 0.8936 0.1939 0.6997
9 Dy 0.8061 0.3003 0.1064
10 Dy 0.1939 0.3003 0.4942
11 Dy 0.8061 0.6997 0.5058
12 Dy 0.1939 0.6997 0.8936
13 Co 0.3856 0.5000 0.8856
14 Co 0.6144 0.5000 0.1144
15 Co 0.5000 0.8856 0.3856
16 Co 0.5000 0.1144 0.6144
17 Co 0.8856 0.3856 0.5000
18 Co 0.1144 0.6144 0.5000
19 Pd 0.0000 0.0000 0.0000

***

The following is a GGA-PBE calculation of crystalline Dy4CoPd at its relaxed geometry, from Alexandria via LeMat-Bulk.

Results
Its energy relative to the elements is -33.8 kJ per mole of atoms. The total energy is -65.6 eV per cell. The space group is P4/mcc. As for the distance to the lowest polymorph of the same formula: 0 meV/atom.

a b c (Å): 6.2648 6.8273 6.8273
angles (deg): 90.00 90.00 90.00
Positions (direct):
1 Dy 0.0000 0.1912 0.6714
2 Dy 0.0000 0.8088 0.3286
3 Dy 0.0000 0.3286 0.1912
4 Dy 0.0000 0.6714 0.8088
5 Dy 0.5000 0.8088 0.6714
6 Dy 0.5000 0.1912 0.3286
7 Dy 0.5000 0.6714 0.1912
8 Dy 0.5000 0.3286 0.8088
9 Co 0.2500 0.5000 0.5000
10 Co 0.7500 0.5000 0.5000
11 Pd 0.2500 0.0000 0.0000
12 Pd 0.7500 0.0000 0.0000

***

The following is a GGA-PBE calculation of crystalline Dy5CoPd2 at its relaxed geometry, from Alexandria via LeMat-Bulk.

Results
Its energy relative to the elements is -51.8 kJ per mole of atoms. The total energy is -89.6 eV per cell. The space group is Pbam.

a b c (Å): 3.9998 8.2182 11.7742
angles (deg): 90.00 90.00 90.00
Positions (direct):
1 Dy 0.0000 0.0000 0.5000
2 Dy 0.0000 0.5000 0.0000
3 Dy 0.0000 0.8452 0.1968
4 Dy 0.0000 0.1548 0.8032
5 Dy 0.0000 0.6548 0.6968
6 Dy 0.0000 0.3452 0.3032
7 Dy 0.5000 0.6748 0.4179
8 Dy 0.5000 0.3252 0.5821
9 Dy 0.5000 0.8252 0.9179
10 Dy 0.5000 0.1748 0.0821
11 Co 0.0000 0.5000 0.5000
12 Co 0.0000 0.0000 0.0000
13 Pd 0.5000 0.5568 0.1747
14 Pd 0.5000 0.4432 0.8253
15 Pd 0.5000 0.9432 0.6747
16 Pd 0.5000 0.0568 0.3253

***

The following is a GGA-PBE calculation of crystalline Dy8Co2Pd at its relaxed geometry, from Alexandria via LeMat-Bulk.

Results
Its energy relative to the elements is -16.2 kJ per mole of atoms. The total energy is -58.1 eV per cell. The space group is Cm.

a b c (Å): 5.8964 7.4100 7.4100
angles (deg): 112.89 99.32 99.32
Positions (direct):
1 Dy 0.5839 0.3441 0.0787
2 Dy 0.5839 0.0787 0.3441
3 Dy 0.1771 0.3709 0.3709
4 Dy 0.9882 0.2266 0.7788
5 Dy 0.9882 0.7788 0.2266
6 Dy 0.7979 0.6331 0.6331
7 Dy 0.3893 0.9290 0.6632
8 Dy 0.3893 0.6632 0.9290
9 Co 0.4884 0.6952 0.3119
10 Co 0.4884 0.3119 0.6952
11 Pd 0.1250 0.0024 0.0024

***

The following is a GGA-PBE calculation of crystalline Dy4CoPd at its relaxed geometry, from Alexandria via LeMat-Bulk.

Results
Its energy relative to the elements is -30.6 kJ per mole of atoms. The total energy is -65.2 eV per cell. The space group is C2/c. As for the distance to the lowest polymorph of the same formula: 33 meV/atom.

a b c (Å): 6.9789 6.6485 8.2337
angles (deg): 109.23 110.66 100.12
Positions (direct):
1 Dy 0.9429 0.2879 0.0726
2 Dy 0.6296 0.7847 0.0726
3 Dy 0.2790 0.5297 0.5692
4 Dy 0.7210 0.4703 0.4308
5 Dy 0.2097 0.9604 0.4308
6 Dy 0.3704 0.2153 0.9274
7 Dy 0.7903 0.0396 0.5692
8 Dy 0.0571 0.7121 0.9274
9 Co 0.0849 0.8349 0.6699
10 Co 0.9151 0.1651 0.3301
11 Pd 0.3695 0.6195 0.2391
12 Pd 0.6305 0.3805 0.7609

***

The following is a GGA-PBE calculation of crystalline Dy5Co2Pd at its relaxed geometry, from Alexandria via LeMat-Bulk.

Results
Its energy relative to the elements is -35.9 kJ per mole of atoms. The total energy is -90.8 eV per cell. The space group is I4/mcm.

a b c (Å): 7.2565 7.2565 8.6522
angles (deg): 114.79 114.79 90.00
Positions (direct):
1 Dy 0.5349 0.6885 0.7234
2 Dy 0.8115 0.9651 0.2766
3 Dy 0.0000 0.0000 0.0000
4 Dy 0.5000 0.5000 0.0000
5 Dy 0.1885 0.0349 0.7234
6 Dy 0.6885 0.1885 0.7234
7 Dy 0.0349 0.5349 0.7234
8 Dy 0.3115 0.8115 0.2766
9 Dy 0.9651 0.4651 0.2766
10 Dy 0.4651 0.3115 0.2766
11 Co 0.1154 0.3846 0.0000
12 Co 0.6154 0.1154 0.0000
13 Co 0.3846 0.8846 0.0000
14 Co 0.8846 0.6154 0.0000
15 Pd 0.7500 0.7500 0.5000
16 Pd 0.2500 0.2500 0.5000

***

The following is a GGA-PBE calculation of crystalline Dy6Co2Pd at its relaxed geometry, from Alexandria via LeMat-Bulk.

Results
Its energy relative to the elements is -31.4 kJ per mole of atoms. The total energy is -99.9 eV per cell. The space group is Immm.

a b c (Å): 8.2090 8.2090 8.2090
angles (deg): 107.71 110.50 110.22
Positions (direct):
1 Dy 0.5448 0.7245 0.8203
2 Dy 0.4552 0.2755 0.1797
3 Dy 0.0959 0.2755 0.8203
4 Dy 0.9041 0.7245 0.1797
5 Dy 0.8100 0.7573 0.5673
6 Dy 0.1900 0.2427 0.4327
7 Dy 0.1900 0.7573 0.9473
8 Dy 0.8100 0.2427 0.0527
9 Dy 0.6845 0.3592 0.6747
10 Dy 0.3155 0.6408 0.3253
11 Dy 0.3155 0.9902 0.6747
12 Dy 0.6845 0.0098 0.3253
13 Co 0.5000 0.3851 0.8851
14 Co 0.5000 0.6149 0.1149
15 Co 0.6664 0.0000 0.6664
16 Co 0.3336 0.0000 0.3336
17 Pd 0.0000 0.5000 0.5000
18 Pd 0.0000 0.0000 0.0000